VASP calculation (PBE-GGA) on a geometry-optimized Ba2LiSi structure.

a = 5.5766 Å, b = 5.5766 Å, c = 5.5766 Å
α = 60.00°, β = 60.00°, γ = 60.00°
Fractional coordinates of all 4 atoms:
Ba 0.0000 0.0000 0.0000
Ba 0.2500 0.2500 0.2500
Li 0.5000 0.5000 0.5000
Si 0.7500 0.7500 0.7500

Energy relative to the elements, uncorrected   0.08 eV per atom
Crystal system   cubic
Space-group type   No. 216
D(E_F)   3.33 states/eV/f.u.
Calculated total energy   -2.71 eV per atom

VASP calculation (PBE-GGA) on a geometry-optimized Na3Ho3IrO8 structure.

a = 6.7594 Å, b = 6.7594 Å, c = 6.7594 Å
α = 59.02°, β = 59.02°, γ = 59.02°
Fractional coordinates of all 15 atoms:
Na 0.0000 0.5000 0.5000
Na 0.5000 0.0000 0.5000
Na 0.5000 0.5000 0.0000
Ho 0.0000 0.0000 0.5000
Ho 0.0000 0.5000 0.0000
Ho 0.5000 0.0000 0.0000
Ir 0.5000 0.5000 0.5000
O 0.2362 0.2362 0.2362
O 0.2595 0.7206 0.7206
O 0.2794 0.2794 0.7405
O 0.2794 0.7405 0.2794
O 0.7206 0.2595 0.7206
O 0.7206 0.7206 0.2595
O 0.7405 0.2794 0.2794
O 0.7638 0.7638 0.7638

Energy relative to the elements, uncorrected   -2.37 eV per atom
Crystal system   trigonal
Space-group type   No. 166
D(E_F)   7.26 states/eV/f.u.
Calculated total energy   -6.79 eV per atom

VASP calculation (PBE-GGA) on a geometry-optimized YFeOs structure.

a = 5.7324 Å, b = 5.7324 Å, c = 5.7324 Å
α = 147.68°, β = 147.68°, γ = 46.36°
Fractional coordinates of all 3 atoms:
Y 0.0000 0.0000 0.0000
Fe 0.7006 0.7006 0.0000
Os 0.3066 0.3066 0.0000

ΔE_f   0.165 eV/atom
ΔE to the lowest computed polymorph   0.391 eV/atom
Crystal system   tetragonal
Space-group type   No. 107
D(E_F)   2.91 states/eV/f.u.
Calculated total energy   -8.55 eV per atom

VASP calculation (PBE-GGA) on a geometry-optimized Ho6ErSc2 structure.

a = 9.2497 Å, b = 9.2497 Å, c = 6.4763 Å
α = 100.33°, β = 100.33°, γ = 88.27°
Fractional coordinates of all 18 atoms:
Ho 0.0390 0.4500 0.2358
Ho 0.1190 0.8277 0.5006
Ho 0.1723 0.8810 0.9994
Ho 0.2926 0.4657 0.6846
Ho 0.4500 0.0390 0.7358
Ho 0.4657 0.2926 0.1846
Ho 0.5343 0.7074 0.8154
Ho 0.5500 0.9610 0.2642
Ho 0.7074 0.5343 0.3154
Ho 0.8277 0.1190 0.0006
Ho 0.8810 0.1723 0.4994
Ho 0.9610 0.5500 0.7642
Er 0.3607 0.6393 0.2500
Er 0.6393 0.3607 0.7500
Sc 0.1519 0.2087 0.8735
Sc 0.2087 0.1519 0.3735
Sc 0.7913 0.8481 0.6265
Sc 0.8481 0.7913 0.1265

ΔE_f   0.135 eV/atom
ΔE to the lowest computed polymorph   0.059 eV/atom
Crystal system   monoclinic
Space-group type   No. 15
D(E_F)   9.73 states/eV/f.u.
Calculated total energy   -4.83 eV per atom

VASP calculation (PBE-GGA) on a geometry-optimized SbH2 structure.

a = 4.3432 Å, b = 4.6122 Å, c = 6.6163 Å
α = 107.68°, β = 107.75°, γ = 90.05°
Fractional coordinates of all 6 atoms:
Sb 0.0000 0.0000 0.0000
Sb 0.4928 0.5680 0.9862
H 0.6272 0.6842 0.2766
H 0.7507 0.2037 0.4959
H 0.7518 0.3645 0.4905
H 0.8654 0.8838 0.7096

ΔE to the lowest computed polymorph   0.081 eV/atom
Crystal system   triclinic
Space-group type   No. 1
D(E_F)   0.02 states/eV/f.u.
Calculated total energy   -3.49 eV per atom

VASP calculation (PBE-GGA) on a geometry-optimized LiY2Zn structure.

a = 6.1297 Å, b = 6.1297 Å, c = 5.0936 Å
α = 114.47°, β = 114.47°, γ = 33.68°
Fractional coordinates of all 4 atoms:
Li 0.0000 0.0000 0.0000
Y 0.2152 0.2152 0.7158
Y 0.4296 0.4296 0.4297
Zn 0.6846 0.6846 0.1856

ΔE_f   -0.076 eV/atom
Crystal system   monoclinic
Space-group type   No. 8
D(E_F)   3.94 states/eV/f.u.
Calculated total energy   -4.10 eV per atom

VASP calculation (PBE-GGA) on a geometry-optimized Mn2WCl structure.

a = 2.9109 Å, b = 4.3557 Å, c = 4.6558 Å
α = 90.00°, β = 90.00°, γ = 90.00°
Fractional coordinates of all 4 atoms:
Mn 0.0000 0.0000 0.0000
Mn 0.5000 0.0000 0.5000
W 0.0000 0.5000 0.5000
Cl 0.5000 0.5000 0.0000

ΔE to the lowest computed polymorph   0.635 eV/atom
Energy relative to the elements, uncorrected   0.81 eV per atom
Crystal system   orthorhombic
Space-group type   No. 47
D(E_F)   3.65 states/eV/f.u.
Calculated total energy   -7.47 eV per atom

VASP calculation (PBE-GGA) on a geometry-optimized LaMg2Zn9 structure.

a = 9.1573 Å, b = 9.1573 Å, c = 3.0438 Å
α = 90.00°, β = 90.00°, γ = 120.00°
Fractional coordinates of all 12 atoms:
La 0.0000 0.0000 0.0000
Mg 0.3333 0.6667 0.0000
Mg 0.6667 0.3333 0.0000
Zn 0.0000 0.5000 0.0000
Zn 0.1806 0.3612 0.5000
Zn 0.1806 0.8194 0.5000
Zn 0.3612 0.1806 0.5000
Zn 0.5000 0.0000 0.0000
Zn 0.5000 0.5000 0.0000
Zn 0.6388 0.8194 0.5000
Zn 0.8194 0.1806 0.5000
Zn 0.8194 0.6388 0.5000

ΔE_f   -0.011 eV/atom
ΔE to the lowest computed polymorph   0.195 eV/atom
Crystal system   hexagonal
Space-group type   No. 191
D(E_F)   3.32 states/eV/f.u.
Calculated total energy   -1.64 eV per atom

VASP calculation (PBE-GGA) on a geometry-optimized Zn2Pd3Pt3 structure.

a = 3.9132 Å, b = 3.9349 Å, c = 7.8279 Å
α = 90.00°, β = 90.00°, γ = 90.00°
Fractional coordinates of all 8 atoms:
Zn 0.0000 0.0000 0.2491
Zn 0.0000 0.0000 0.7509
Pd 0.0000 0.5000 0.0000
Pd 0.5000 0.0000 0.0000
Pd 0.5000 0.0000 0.5000
Pt 0.0000 0.5000 0.5000
Pt 0.5000 0.5000 0.2498
Pt 0.5000 0.5000 0.7502

ΔE_f   -0.314 eV/atom
Crystal system   orthorhombic
Space-group type   No. 47
D(E_F)   9.34 states/eV/f.u.
Calculated total energy   -4.85 eV per atom

VASP calculation (PBE-GGA) on a geometry-optimized Nd2ZnIn structure.

a = 9.6522 Å, b = 9.6522 Å, c = 9.6522 Å
α = 22.84°, β = 22.84°, γ = 22.84°
Fractional coordinates of all 4 atoms:
Nd 0.2450 0.2450 0.2450
Nd 0.7550 0.7550 0.7550
Zn 0.5000 0.5000 0.5000
In 0.0000 0.0000 0.0000

ΔE_f   -0.196 eV/atom
Crystal system   trigonal
Space-group type   No. 166
D(E_F)   4.20 states/eV/f.u.
Calculated total energy   -3.58 eV per atom

VASP calculation (PBE-GGA) on a geometry-optimized SnTeAs2Se structure.

a = 5.3233 Å, b = 5.3233 Å, c = 5.3545 Å
α = 90.00°, β = 90.00°, γ = 90.00°
Fractional coordinates of all 5 atoms:
Sn 0.0000 0.0000 0.0000
Te 0.5000 0.5000 0.5000
As 0.0000 0.5000 0.5000
As 0.5000 0.0000 0.5000
Se 0.5000 0.5000 0.0000

ΔE to the lowest computed polymorph   0.000 eV/atom
Energy relative to the elements, uncorrected   0.70 eV per atom
Crystal system   tetragonal
Space-group type   No. 123
D(E_F)   6.14 states/eV/f.u.
Calculated total energy   -3.28 eV per atom

VASP calculation (PBE-GGA) on a geometry-optimized Sn2Pt2Se structure.

a = 7.4543 Å, b = 7.4543 Å, c = 3.6628 Å
α = 90.00°, β = 90.00°, γ = 90.00°
Fractional coordinates of all 10 atoms:
Sn 0.1627 0.3373 0.0000
Sn 0.3373 0.8373 0.0000
Sn 0.6627 0.1627 0.0000
Sn 0.8373 0.6627 0.0000
Pt 0.1354 0.6354 0.5000
Pt 0.3646 0.1354 0.5000
Pt 0.6354 0.8646 0.5000
Pt 0.8646 0.3646 0.5000
Se 0.0000 0.0000 0.5000
Se 0.5000 0.5000 0.5000

ΔE to the lowest computed polymorph   0.000 eV/atom
Energy relative to the elements, uncorrected   -0.24 eV per atom
Crystal system   tetragonal
Space-group type   No. 127
D(E_F)   2.02 states/eV/f.u.
Calculated total energy   -4.95 eV per atom